Record 1
## LiCo2Sb (PBE)

Data for a relaxed structure of LiCo2Sb.

a b c (Å): 6.831 6.831 5.458
angles (deg): 51.26 51.26 90.00
Positions (direct):
Li (0.250, 0.750, 0.500)
Li (0.500, 0.500, 0.000)
Co (0.375, 0.381, 0.750)
Co (0.619, 0.125, 0.250)
Co (0.875, 0.869, 0.750)
Co (0.131, 0.625, 0.250)
Sb (0.750, 0.250, 0.500)
Sb (0.000, 0.000, 0.000)

Values from the calculation:
- M_tot: 4.49 μB/cell
- Electronic total energy: -4.664 eV per atom
- Uncorrected formation energy: 398 meV per atom
- ρ: 6.9 Mg/m³

Record 2
## LiCo4Sb12 (PBE)

Data for a relaxed structure of LiCo4Sb12.

a b c (Å): 7.928 7.928 7.928
angles (deg): 109.47 109.47 109.47
Positions (direct):
Sb (0.160, 0.667, 0.827)
Sb (0.333, 0.173, 0.840)
Sb (0.507, 0.840, 0.667)
Sb (0.667, 0.507, 0.840)
Sb (0.160, 0.333, 0.493)
Sb (0.840, 0.667, 0.507)
Sb (0.493, 0.160, 0.333)
Sb (0.667, 0.827, 0.160)
Sb (0.840, 0.333, 0.173)
Sb (0.827, 0.160, 0.667)
Sb (0.333, 0.493, 0.160)
Sb (0.173, 0.840, 0.333)
Co (0.500, 0.000, 0.000)
Co (0.000, 0.500, 0.000)
Co (0.000, 0.000, 0.500)
Co (0.500, 0.500, 0.500)
Li (0.000, 0.000, 0.000)

Values from the calculation:
- M_tot: 0.00 μB/cell
- Electronic total energy: -4.885 eV per atom
- Uncorrected formation energy: -191 meV per atom
- ρ: 7.4 Mg/m³

Record 3
## LiCo3Sb (PBE)

Data for a relaxed structure of LiCo3Sb.

a b c (Å): 3.974 3.974 3.974
angles (deg): 90.00 90.00 90.00
Positions (direct):
Co (0.000, 0.000, 0.500)
Co (0.000, 0.500, 0.000)
Co (0.500, 0.000, 0.000)
Sb (0.500, 0.500, 0.500)
Li (0.000, 0.000, 0.000)

Values from the calculation:
- M_tot: 1.23 μB/cell
- Electronic total energy: -4.744 eV per atom
- Offset from the most stable computed form: 0.000 eV per atom
- Uncorrected formation energy: 726 meV per atom
- ρ: 8.1 Mg/m³

Record 4
## LiCo2Sb (PBE)

Data for a relaxed structure of LiCo2Sb.

a b c (Å): 3.118 3.115 5.495
angles (deg): 90.00 90.00 90.00
Positions (direct):
Co (0.000, 0.000, 0.005)
Co (0.000, 0.000, 0.495)
Sb (0.500, 0.500, 0.750)
Li (0.500, 0.500, 0.250)

Values from the calculation:
- M_tot: 0.07 μB/cell
- Electronic total energy: -4.897 eV per atom
- Uncorrected formation energy: 165 meV per atom
- ρ: 7.7 Mg/m³

Record 5
## LiCo2Sb (PBE)

Data for a relaxed structure of LiCo2Sb.

a b c (Å): 4.048 3.119 4.948
angles (deg): 71.67 90.00 90.00
Positions (direct):
Co (0.500, 0.062, 0.251)
Co (0.000, 0.187, 0.001)
Li (0.000, 0.464, 0.447)
Sb (0.500, 0.787, 0.801)

Values from the calculation:
- M_tot: 2.33 μB/cell
- Electronic total energy: -4.930 eV per atom
- Uncorrected formation energy: 131 meV per atom
- ρ: 6.9 Mg/m³

Record 6
## LiCo2Sb (PBE)

Data for a relaxed structure of LiCo2Sb.

a b c (Å): 4.938 4.938 2.884
angles (deg): 76.25 76.25 115.43
Positions (direct):
Co (0.000, 0.000, 0.000)
Co (0.500, 0.500, 0.000)
Sb (0.000, 0.500, 0.500)
Li (0.500, 0.000, 0.500)

Values from the calculation:
- M_tot: 2.29 μB/cell
- Electronic total energy: -4.830 eV per atom
- Uncorrected formation energy: 232 meV per atom
- ρ: 7.2 Mg/m³

Record 7
## LiCoSb6 (PBE)

Data for a relaxed structure of LiCoSb6.

a b c (Å): 7.961 7.961 8.388
angles (deg): 109.24 107.06 110.10
Positions (direct):
Sb (0.181, 0.839, 0.355)
Sb (0.152, 0.322, 0.474)
Sb (0.848, 0.678, 0.526)
Sb (0.684, 0.816, 0.181)
Sb (0.316, 0.184, 0.819)
Sb (0.851, 0.370, 0.220)
Sb (0.636, 0.503, 0.819)
Sb (0.819, 0.161, 0.645)
Sb (0.484, 0.826, 0.645)
Sb (0.149, 0.630, 0.780)
Sb (0.516, 0.174, 0.355)
Sb (0.364, 0.497, 0.181)
Co (0.000, 0.000, 0.500)
Co (0.500, 0.500, 0.500)
Li (0.500, 0.000, 0.000)
Li (0.000, 0.500, 0.000)

Values from the calculation:
- M_tot: 0.00 μB/cell
- Electronic total energy: -4.298 eV per atom
- Uncorrected formation energy: -78 meV per atom
- ρ: 6.3 Mg/m³

Record 8
## Li4CoSb (PBE)

Data for a relaxed structure of Li4CoSb.

a b c (Å): 4.878 4.878 4.878
angles (deg): 60.00 60.00 60.00
Positions (direct):
Li (0.881, 0.373, 0.373)
Li (0.373, 0.881, 0.373)
Li (0.373, 0.373, 0.373)
Li (0.373, 0.373, 0.881)
Sb (0.750, 0.750, 0.750)
Co (0.000, 0.000, 0.000)

Values from the calculation:
- M_tot: 0.10 μB/cell
- Electronic total energy: -3.092 eV per atom
- Uncorrected formation energy: 55 meV per atom
- ρ: 4.2 Mg/m³

Record 9
## LiCo2Sb (PBE)

Data for a relaxed structure of LiCo2Sb.

a b c (Å): 3.849 3.849 3.535
angles (deg): 90.00 90.00 90.00
Positions (direct):
Li (0.500, 0.000, 0.500)
Sb (0.000, 0.500, 0.500)
Co (0.500, 0.500, 0.000)
Co (0.000, 0.000, 0.000)

Values from the calculation:
- M_tot: 0.55 μB/cell
- Electronic total energy: -5.064 eV per atom
- Uncorrected formation energy: -2 meV per atom
- ρ: 7.8 Mg/m³

Record 10
## LiCoSb3 (PBE)

Data for a relaxed structure of LiCoSb3.

a b c (Å): 5.021 5.021 5.021
angles (deg): 90.00 90.00 90.00
Positions (direct):
Co (0.000, 0.000, 0.000)
Li (0.500, 0.500, 0.500)
Sb (0.000, 0.500, 0.000)
Sb (0.500, 0.000, 0.000)
Sb (0.000, 0.000, 0.500)

Values from the calculation:
- M_tot: 0.00 μB/cell
- Electronic total energy: -4.081 eV per atom
- Offset from the most stable computed form: 0.000 eV per atom
- Uncorrected formation energy: 196 meV per atom
- ρ: 5.7 Mg/m³

Record 11
## Li2CoSb2 (PBE)

Data for a relaxed structure of Li2CoSb2.

a b c (Å): 6.569 6.569 4.580
angles (deg): 90.00 90.00 90.00
Positions (direct):
Li (0.164, 0.664, 0.500)
Li (0.336, 0.164, 0.500)
Li (0.664, 0.836, 0.500)
Li (0.836, 0.336, 0.500)
Co (0.000, 0.000, 0.000)
Co (0.500, 0.500, 0.000)
Sb (0.655, 0.155, 0.000)
Sb (0.345, 0.845, 0.000)
Sb (0.155, 0.345, 0.000)
Sb (0.845, 0.655, 0.000)

Values from the calculation:
- M_tot: 0.00 μB/cell
- Electronic total energy: -4.095 eV per atom
- Uncorrected formation energy: -260 meV per atom
- ρ: 5.3 Mg/m³

Record 12
## LiCo2Sb (PBE)

Data for a relaxed structure of LiCo2Sb.

a b c (Å): 4.221 2.884 4.765
angles (deg): 85.97 90.00 90.00
Positions (direct):
Co (0.000, 0.559, 0.474)
Co (0.000, 0.941, 0.026)
Sb (0.500, 0.750, 0.750)
Li (0.500, 0.250, 0.250)

Values from the calculation:
- M_tot: 2.52 μB/cell
- Electronic total energy: -4.856 eV per atom
- Uncorrected formation energy: 206 meV per atom
- ρ: 7.1 Mg/m³

Record 13
## LiCoSb4 (PBE)

Data for a relaxed structure of LiCoSb4.

a b c (Å): 6.184 6.184 6.184
angles (deg): 60.00 60.00 60.00
Positions (direct):
Co (0.750, 0.750, 0.750)
Li (0.000, 0.000, 0.000)
Sb (0.375, 0.375, 0.874)
Sb (0.375, 0.375, 0.375)
Sb (0.874, 0.375, 0.375)
Sb (0.375, 0.874, 0.375)

Values from the calculation:
- M_tot: 2.51 μB/cell
- Electronic total energy: -3.682 eV per atom
- Uncorrected formation energy: 570 meV per atom
- ρ: 5.5 Mg/m³

Record 14
## LiCo2Sb (PBE)

Data for a relaxed structure of LiCo2Sb.

a b c (Å): 7.961 7.961 7.961
angles (deg): 22.11 22.11 22.11
Positions (direct):
Co (0.003, 0.003, 0.003)
Co (0.497, 0.497, 0.497)
Li (0.250, 0.250, 0.250)
Sb (0.750, 0.750, 0.750)

Values from the calculation:
- M_tot: 2.19 μB/cell
- Electronic total energy: -4.597 eV per atom
- Uncorrected formation energy: 465 meV per atom
- ρ: 6.5 Mg/m³

Record 15
## LiCo2Sb (PBE)

Data for a relaxed structure of LiCo2Sb.

a b c (Å): 3.223 3.223 5.432
angles (deg): 90.00 90.00 90.00
Positions (direct):
Sb (0.500, 0.500, 0.764)
Co (0.500, 0.500, 0.245)
Co (0.000, 0.000, 0.018)
Li (0.000, 0.000, 0.472)

Values from the calculation:
- M_tot: 2.46 μB/cell
- Electronic total energy: -4.915 eV per atom
- Uncorrected formation energy: 147 meV per atom
- ρ: 7.3 Mg/m³

Record 16
## LiCo2Sb (PBE)

Data for a relaxed structure of LiCo2Sb.

a b c (Å): 4.231 4.231 4.231
angles (deg): 120.15 120.15 89.75
Positions (direct):
Li (0.500, 0.500, 0.000)
Co (0.250, 0.750, 0.500)
Co (0.000, 0.000, 0.000)
Sb (0.750, 0.250, 0.500)

Values from the calculation:
- M_tot: 2.58 μB/cell
- Electronic total energy: -5.072 eV per atom
- Uncorrected formation energy: -10 meV per atom
- ρ: 7.7 Mg/m³

Record 17
## LiScCoSb (PBE)

Data for a relaxed structure of LiScCoSb.

a b c (Å): 4.426 4.426 4.426
angles (deg): 60.00 60.00 60.00
Positions (direct):
Sb (0.250, 0.250, 0.250)
Li (0.000, 0.000, 0.000)
Co (0.500, 0.500, 0.500)
Sc (0.750, 0.750, 0.750)

Values from the calculation:
- M_tot: 0.00 μB/cell
- Electronic total energy: -5.443 eV per atom
- Uncorrected formation energy: -574 meV per atom
- ρ: 6.3 Mg/m³

Record 18
## Li2TaCoSb (PBE)

Data for a relaxed structure of Li2TaCoSb.

a b c (Å): 4.601 5.271 4.601
angles (deg): 90.00 90.00 90.00
Positions (direct):
Co (0.500, 0.500, 0.500)
Li (0.500, 0.000, 0.000)
Li (0.000, 0.000, 0.500)
Sb (0.000, 0.000, 0.000)
Ta (0.000, 0.500, 0.000)

Values from the calculation:
- M_tot: 1.45 μB/cell
- Electronic total energy: -4.353 eV per atom
- Uncorrected formation energy: 1029 meV per atom
- ρ: 5.6 Mg/m³

Record 19
## LiTbCoSb (PBE)

Data for a relaxed structure of LiTbCoSb.

a b c (Å): 4.593 4.593 4.593
angles (deg): 60.00 60.00 60.00
Positions (direct):
Sb (0.000, 0.000, 0.000)
Co (0.250, 0.250, 0.250)
Li (0.750, 0.750, 0.750)
Tb (0.500, 0.500, 0.500)

Values from the calculation:
- M_tot: 0.00 μB/cell
- Electronic total energy: -4.965 eV per atom
- Uncorrected formation energy: -522 meV per atom
- ρ: 8.4 Mg/m³

Record 20
## LiCoSb2Te (PBE)

Data for a relaxed structure of LiCoSb2Te.

a b c (Å): 4.793 4.793 5.804
angles (deg): 90.00 90.00 90.00
Positions (direct):
Li (0.500, 0.500, 0.500)
Sb (0.000, 0.500, 0.000)
Sb (0.500, 0.000, 0.000)
Te (0.000, 0.000, 0.500)
Co (0.000, 0.000, 0.000)

Values from the calculation:
- M_tot: 0.00 μB/cell
- Electronic total energy: -3.978 eV per atom
- Offset from the most stable computed form: 0.000 eV per atom
- Uncorrected formation energy: 103 meV per atom
- ρ: 5.4 Mg/m³

Record 21
## LiTl2CoSb (PBE)

Data for a relaxed structure of LiTl2CoSb.

a b c (Å): 5.060 5.025 5.060
angles (deg): 90.00 90.00 90.00
Positions (direct):
Co (0.000, 0.000, 0.000)
Tl (0.000, 0.000, 0.500)
Tl (0.500, 0.000, 0.000)
Li (0.500, 0.500, 0.500)
Sb (0.000, 0.500, 0.000)

Values from the calculation:
- M_tot: 0.00 μB/cell
- Electronic total energy: -3.438 eV per atom
- Uncorrected formation energy: 137 meV per atom
- ρ: 7.7 Mg/m³

Record 22
## LiSc3Co8 (PBE)

Data for a relaxed structure of LiSc3Co8.

a b c (Å): 4.850 4.850 8.374
angles (deg): 73.17 73.17 60.00
Positions (direct):
Co (0.938, 0.938, 0.686)
Co (0.938, 0.437, 0.187)
Co (0.938, 0.438, 0.686)
Co (0.438, 0.938, 0.686)
Co (0.437, 0.437, 0.187)
Co (0.687, 0.687, 0.938)
Co (0.437, 0.938, 0.187)
Co (0.188, 0.188, 0.436)
Sc (0.376, 0.376, 0.872)
Sc (0.504, 0.504, 0.487)
Sc (0.995, 0.995, 0.016)
Li (0.873, 0.873, 0.380)

Values from the calculation:
- M_tot: 8.54 μB/cell
- ΔH_f (0 K): -23 kJ/mol of atoms
- Electronic total energy: -6.721 eV per atom
- ρ: 6.3 Mg/m³

Record 23
## Li2ScCo (PBE)

Data for a relaxed structure of Li2ScCo.

a b c (Å): 4.352 4.352 4.352
angles (deg): 60.00 60.00 60.00
Positions (direct):
Li (0.750, 0.750, 0.750)
Li (0.250, 0.250, 0.250)
Co (0.500, 0.500, 0.500)
Sc (0.000, 0.000, 0.000)

Values from the calculation:
- M_tot: 0.00 μB/cell
- ΔH_f (0 K): 27 kJ/mol of atoms
- Electronic total energy: -4.032 eV per atom
- Offset from the most stable computed form: 0.253 eV per atom
- ρ: 3.4 Mg/m³

Record 24
## LiScCo2 (PBE)

Data for a relaxed structure of LiScCo2.

a b c (Å): 4.220 4.220 4.220
angles (deg): 60.00 60.00 60.00
Positions (direct):
Li (0.000, 0.000, 0.000)
Sc (0.500, 0.500, 0.500)
Co (0.750, 0.750, 0.750)
Co (0.250, 0.250, 0.250)

Values from the calculation:
- M_tot: 0.73 μB/cell
- ΔH_f (0 K): 10 kJ/mol of atoms
- Electronic total energy: -5.515 eV per atom
- Offset from the most stable computed form: 0.069 eV per atom
- ρ: 5.3 Mg/m³

Record 25
## Li2ScCo (PBE)

Data for a relaxed structure of Li2ScCo.

a b c (Å): 5.288 5.288 2.808
angles (deg): 90.00 90.00 124.95
Positions (direct):
Li (0.500, 0.500, 0.000)
Li (0.000, 0.000, 0.000)
Sc (0.500, 0.000, 0.500)
Co (0.000, 0.500, 0.500)

Values from the calculation:
- M_tot: 1.17 μB/cell
- ΔH_f (0 K): 29 kJ/mol of atoms
- Electronic total energy: -4.020 eV per atom
- Offset from the most stable computed form: 0.265 eV per atom
- ρ: 3.0 Mg/m³

Record 26
## Li3ScCo (PBE)

Data for a relaxed structure of Li3ScCo.

a b c (Å): 4.426 4.426 4.426
angles (deg): 90.00 90.00 90.00
Positions (direct):
Li (0.000, 0.000, 0.500)
Li (0.000, 0.500, 0.000)
Li (0.500, 0.000, 0.000)
Co (0.000, 0.000, 0.000)
Sc (0.500, 0.500, 0.500)

Values from the calculation:
- M_tot: 0.00 μB/cell
- ΔH_f (0 K): 53 kJ/mol of atoms
- Electronic total energy: -3.285 eV per atom
- Offset from the most stable computed form: 0.000 eV per atom
- ρ: 2.4 Mg/m³

Record 27
## Li2ScCo (PBE)

Data for a relaxed structure of Li2ScCo.

a b c (Å): 4.870 3.588 3.588
angles (deg): 90.00 90.00 90.00
Positions (direct):
Li (0.000, 0.000, 0.000)
Li (0.000, 0.500, 0.500)
Co (0.500, 0.000, 0.500)
Sc (0.500, 0.500, 0.000)

Values from the calculation:
- M_tot: 0.00 μB/cell
- ΔH_f (0 K): 8 kJ/mol of atoms
- Electronic total energy: -4.238 eV per atom
- Offset from the most stable computed form: 0.047 eV per atom
- ρ: 3.1 Mg/m³